4
Lattice="0.000 3.451 3.451 3.451 0.000 3.451 3.451 3.451 0.000" Properties=species:S:1:pos:R:3 comment="SmPuMnOs, optimized geometry, DFT PBE" sg=F-43m formation_enthalpy_0k_mev_per_atom=71 pbc="T T T"
Sm 0.000 0.000 0.000
Pu 3.451 3.451 3.451
Mn 1.726 1.726 1.726
Os 5.177 5.177 5.177

---

4
Lattice="0.000 3.247 3.247 3.247 0.000 3.247 3.247 3.247 0.000" Properties=species:S:1:pos:R:3 comment="PuTaMnOs, optimized geometry, DFT PBE" sg=F-43m formation_enthalpy_0k_mev_per_atom=38 pbc="T T T"
Pu 0.000 0.000 0.000
Ta 3.247 3.247 3.247
Mn 4.871 4.871 4.871
Os 1.624 1.624 1.624

---

4
Lattice="0.000 3.420 3.420 3.420 0.000 3.420 3.420 3.420 0.000" Properties=species:S:1:pos:R:3 comment="TbPuMnOs, optimized geometry, DFT PBE" sg=F-43m formation_enthalpy_0k_mev_per_atom=-5 pbc="T T T"
Tb 0.000 0.000 0.000
Pu 3.420 3.420 3.420
Mn 5.130 5.130 5.130
Os 1.710 1.710 1.710

---

4
Lattice="0.000 3.218 3.218 3.218 0.000 3.218 3.218 3.218 0.000" Properties=species:S:1:pos:R:3 comment="PuTiMnOs, optimized geometry, DFT PBE" sg=F-43m formation_enthalpy_0k_mev_per_atom=-112 pbc="T T T"
Pu 0.000 0.000 0.000
Ti 3.218 3.218 3.218
Mn 4.828 4.828 4.828
Os 1.609 1.609 1.609

---

4
Lattice="0.000 3.234 3.234 3.234 0.000 3.234 3.234 3.234 0.000" Properties=species:S:1:pos:R:3 comment="PuUMnOs, optimized geometry, DFT PBE" sg=F-43m formation_enthalpy_0k_mev_per_atom=20 pbc="T T T"
Pu 0.000 0.000 0.000
U 4.851 4.851 4.851
Mn 1.617 1.617 1.617
Os 3.234 3.234 3.234

---

4
Lattice="0.000 3.323 3.323 3.323 0.000 3.323 3.323 3.323 0.000" Properties=species:S:1:pos:R:3 comment="PuZrMnOs, optimized geometry, DFT PBE" sg=F-43m formation_enthalpy_0k_mev_per_atom=-102 pbc="T T T"
Pu 0.000 0.000 0.000
Zr 3.323 3.323 3.323
Mn 4.984 4.984 4.984
Os 1.661 1.661 1.661

---

4
Lattice="0.000 4.097 4.097 4.097 0.000 4.097 4.097 4.097 0.000" Properties=species:S:1:pos:R:3 comment="Rb2MnOs, optimized geometry, DFT PBE" sg=Fm-3m formation_enthalpy_0k_mev_per_atom=1925 pbc="T T T"
Rb 2.048 2.048 2.048
Rb 6.145 6.145 6.145
Mn 0.000 0.000 0.000
Os 4.097 4.097 4.097

---

5
Lattice="6.581 0.000 0.000 0.000 6.581 0.000 0.000 0.000 6.581" Properties=species:S:1:pos:R:3 comment="Rb3MnOs, optimized geometry, DFT PBE" sg=Pm-3m formation_enthalpy_0k_mev_per_atom=1943 pbc="T T T"
Rb 0.000 0.000 3.290
Rb 0.000 3.290 0.000
Rb 3.290 0.000 0.000
Mn 0.000 0.000 0.000
Os 3.290 3.290 3.290

---

| no. | size of the total moment (μB per cell) | electronic total energy (eV/f.u.) | density of states at the Fermi level (states/eV/cell) |
| --- | --- | --- | --- |
| 1 | 1.53 | -39.2 | 5.1 |
| 2 | 3.09 | -46.4 | 4.2 |
| 3 | 1.56 | -39.4 | 5.0 |
| 4 | 2.82 | -43.1 | 4.6 |
| 5 | 6.49 | -45.9 | 7.1 |
| 6 | 2.56 | -43.7 | 4.5 |
| 7 | 7.07 | -14.6 | 0.7 |
| 8 | 6.87 | -13.6 | 12.9 |